DFT (GGA-PBE) results for a geometry-optimized B5C3 structure.

Relative energy among the computed polymorphs (kcal/mol of atoms): 3.37
Energy of formation (eV/atom): 0.42
Raw total energy (eV per atom): -7.2166

Unit cell a=8.9200 b=2.5215 c=5.1272 alpha=90.00 beta=91.98 gamma=90.00
Closest atoms and distances in Å follow each position.
Space group Cm (No. 8)
Inequivalent atoms, fractional coordinates:
B: 0.0000 0.0000 0.0000  1 C 1.63, 3 B 1.77-1.79
B: 0.0289 0.5000 0.4152  3 C 1.52-1.58
B: 0.1985 0.0000 0.0103  1 C 1.76, 3 B 1.77-1.84
B: 0.2822 0.5000 0.2333  1 C 1.58
B: 0.3938 0.0000 0.8300  1 C 1.54
C: 0.1915 0.5000 0.5454  2 C 1.50, 1 B 1.58
C: 0.2422 0.0000 0.6780  2 C 1.50, 1 B 1.54
C: 0.4558 0.5000 0.3064  4 B 1.52-1.63


DFT (GGA-PBE) results for a geometry-optimized YSbTe2O structure.

Relative energy among the computed polymorphs (kcal/mol of atoms): 0.00
Raw formation energy (meV/atom): -551
Raw total energy (eV per atom): -4.9164

Unit cell a=4.9602 b=4.9602 c=4.7360 alpha=90.00 beta=90.00 gamma=90.00
Closest atoms and distances in Å follow each position.
Space group P4/mmm (No. 123)
Inequivalent atoms, fractional coordinates:
Y: 0.0000 0.0000 0.0000  8 Te 3.43, 4 Sb 3.51
Sb: 0.5000 0.5000 0.0000  2 O 2.37
Te: 0.0000 0.5000 0.5000  2 O 2.48
O: 0.5000 0.5000 0.5000  2 Sb 2.37, 4 Te 2.48


DFT (GGA-PBE) results for a geometry-optimized Cd2AsPdF structure.

Relative energy among the computed polymorphs (kcal/mol of atoms): 0.00
Raw formation energy (meV/atom): -168
Raw total energy (eV per atom): -2.8765

Unit cell a=5.2760 b=5.2760 c=4.0066 alpha=90.00 beta=90.00 gamma=90.00
Closest atoms and distances in Å follow each position.
Space group P4/mmm (No. 123)
Inequivalent atoms, fractional coordinates:
Cd: 0.0000 0.5000 0.0000  2 Pd 2.64
As: 0.0000 0.0000 0.5000  8 Cd 3.31
Pd: 0.5000 0.5000 0.0000  2 F 2.00
F: 0.5000 0.5000 0.5000  2 Pd 2.00


DFT (GGA-PBE) results for a geometry-optimized La4SiBiBr2 structure.

Raw formation energy (meV/atom): -1177
Raw total energy (eV per atom): -5.2218

Unit cell a=7.5714 b=4.4784 c=8.0250 alpha=90.00 beta=109.68 gamma=90.00
Closest atoms and distances in Å follow each position.
Space group P2/m (No. 10)
Inequivalent atoms, fractional coordinates:
La: 0.2256 0.0000 0.2186  2 Si 3.00, 3 Br 3.14-3.36, 1 Bi 3.26
La: 0.2398 0.5000 0.7753  1 Si 2.96, 2 Br 3.12, 2 Bi 3.24
Si: 0.0000 0.5000 0.0000  6 La 2.96-3.00
Bi: 0.0000 0.0000 0.5000  6 La 3.24-3.26
Br: 0.5000 0.0000 0.0000  6 La 3.12-3.14
Br: 0.5000 0.5000 0.5000  6 La 3.36-3.42


DFT (GGA-PBE) results for a geometry-optimized TmGaBRu2 structure.

Energy of formation (eV/atom): -0.42
Raw total energy (eV per atom): -6.9615

Unit cell a=3.9707 b=11.0282 c=7.3519 alpha=90.00 beta=90.00 gamma=90.00
Closest atoms and distances in Å follow each position.
Space group Cmcm (No. 63)
Inequivalent atoms, fractional coordinates:
Tm: 0.0000 0.0452 0.2500  4 B 2.75, 1 Ga 3.04
Ga: 0.0000 0.2304 0.7500  6 Ru 2.52
B: 0.0000 0.5000 0.0000  2 Ru 1.93
Ru: 0.0000 0.3293 0.0587  1 B 1.93


DFT (GGA-PBE) results for a geometry-optimized Si2SbP structure.

Relative energy among the computed polymorphs (kcal/mol of atoms): 2.85
Raw formation energy (meV/atom): 350
Raw total energy (eV per atom): -4.7446

Unit cell a=9.5662 b=3.2663 c=5.7313 alpha=90.00 beta=108.13 gamma=90.00
Closest atoms and distances in Å follow each position.
Space group Cm (No. 8)
Inequivalent atoms, fractional coordinates:
Si: 0.0000 0.0000 0.0000  2 P 2.47, 2 Si 2.53
Si: 0.1345 0.5000 0.8084  2 P 2.36, 2 Si 2.53
Sb: 0.4099 0.0000 0.3901  1 Si 2.68, 1 P 2.75
P: 0.3084 0.0000 0.7894  4 Si 2.36-2.47


DFT (GGA-PBE) results for a geometry-optimized Sc2HPdRh structure.

Relative energy among the computed polymorphs (kcal/mol of atoms): 0.99
Raw total energy (eV per atom): -6.4595

Unit cell a=4.5309 b=4.5309 c=3.5596 alpha=90.00 beta=90.00 gamma=90.00
Closest atoms and distances in Å follow each position.
Space group P4/mmm (No. 123)
Inequivalent atoms, fractional coordinates:
Sc: 0.0000 0.5000 0.0000  2 H 2.27
H: 0.0000 0.0000 0.0000  2 Pd 1.78
Pd: 0.0000 0.0000 0.5000  2 H 1.78
Rh: 0.5000 0.5000 0.5000  8 Sc 2.88, 4 Pd 3.20


DFT (GGA-PBE) results for a geometry-optimized SrTl2Pb structure.

Energy of formation (eV/atom): -0.29
Raw total energy (eV per atom): -2.8197

Unit cell a=4.9280 b=5.0327 c=5.0457 alpha=90.00 beta=90.00 gamma=90.00
Closest atoms and distances in Å follow each position.
Space group Pmmm (No. 47)
Inequivalent atoms, fractional coordinates:
Sr: 0.0000 0.0000 0.0000  8 Tl 3.52-3.56, 4 Pb 3.53
Tl: 0.0000 0.5000 0.5000  4 Pb 3.52, 4 Tl 3.53, 4 Sr 3.56
Tl: 0.5000 0.5000 0.0000  4 Sr 3.52, 4 Tl 3.53, 4 Pb 3.56
Pb: 0.5000 0.0000 0.5000  8 Tl 3.52-3.56, 4 Sr 3.53


DFT (GGA-PBE) results for a geometry-optimized CsNiTe3 structure.

Raw formation energy (meV/atom): -168
Raw total energy (eV per atom): -3.3798

Unit cell a=5.2907 b=5.2907 c=5.2907 alpha=90.00 beta=90.00 gamma=90.00
Closest atoms and distances in Å follow each position.
Space group Pm-3m (No. 221)
Inequivalent atoms, fractional coordinates:
Cs: 0.0000 0.0000 0.0000  12 Te 3.74
Ni: 0.5000 0.5000 0.5000  6 Te 2.65
Te: 0.0000 0.5000 0.5000  2 Ni 2.65


DFT (GGA-PBE) results for a geometry-optimized MgCu2Pt6 structure.

Energy of formation (eV/atom): -0.31
Raw total energy (eV per atom): -5.4251

Unit cell a=8.2858 b=8.2858 c=3.9107 alpha=90.00 beta=90.00 gamma=90.00
Closest atoms and distances in Å follow each position.
Space group P4_2/mnm (No. 136)
Inequivalent atoms, fractional coordinates:
Mg: 0.0000 0.0000 0.0000  8 Pt 2.72-2.74, 4 Cu 2.79
Cu: 0.1702 0.1702 0.5000  10 Pt 2.74-2.77, 2 Mg 2.79
Pt: 0.0008 0.3286 0.0000  1 Mg 2.72, 3 Cu 2.74, 8 Pt 2.75-2.84
Pt: 0.1636 0.8364 0.5000  2 Mg 2.74, 6 Pt 2.75-2.78, 4 Cu 2.76-2.77


DFT (GGA-PBE) results for a geometry-optimized SnBi2H structure.

Relative energy among the computed polymorphs (kcal/mol of atoms): 3.08
Raw total energy (eV per atom): -3.2928

Unit cell a=7.3434 b=7.3434 c=7.3434 alpha=90.00 beta=90.00 gamma=90.00
Closest atoms and distances in Å follow each position.
Space group Fm-3m (No. 225)
Inequivalent atoms, fractional coordinates:
Sn: 0.0000 0.0000 0.0000  8 Bi 3.18
Bi: 0.2500 0.2500 0.2500  4 H 3.18, 4 Sn 3.18
H: 0.0000 0.0000 0.5000  8 Bi 3.18


DFT (GGA-PBE) results for a geometry-optimized Mg2CdSnHg5 structure.

Energy of formation (eV/atom): -0.04
Raw total energy (eV per atom): -1.1061

Unit cell a=4.0567 b=19.0325 c=11.5922 alpha=90.00 beta=90.00 gamma=90.00
Closest atoms and distances in Å follow each position.
Space group Cmc2_1 (No. 36)
Inequivalent atoms, fractional coordinates:
Mg: 0.0000 0.0983 0.0000  7 Hg 2.90-3.20, 2 Sn 3.13
Mg: 0.0000 0.1356 0.6068  7 Hg 2.97-3.07
Cd: 0.0000 0.2230 0.2177  5 Hg 2.94-3.24, 2 Sn 3.18
Sn: 0.0000 0.4052 0.7060  5 Hg 2.99-3.22, 2 Mg 3.13, 2 Cd 3.18
Hg: 0.0000 0.0050 0.8018  1 Mg 2.90, 2 Sn 2.99, 2 Hg 3.12
Hg: 0.0000 0.2836 0.5130  3 Mg 3.02-3.03, 3 Hg 3.03-3.04, 2 Cd 3.12, 1 Sn 3.22
Hg: 0.0000 0.3211 0.9235  1 Sn 2.99, 3 Hg 3.03-3.11, 2 Mg 3.05, 2 Cd 3.24
Hg: 0.0000 0.3705 0.2931  1 Cd 2.94, 4 Mg 2.97-3.20, 3 Hg 3.04-3.12
Hg: 0.0000 0.4737 0.0201  4 Mg 3.07-3.13, 3 Hg 3.11-3.30, 1 Sn 3.16